A plane-wave DFT calculation with PBE+U was carried out for a relaxed structure of BaAcCrO4.

a = 7.148 Å, b = 7.148 Å, c = 7.148 Å
α = 147.28°, β = 147.28°, γ = 46.95°
Positions (direct):
Ba  0.000  0.000  0.000
Ac  0.718  0.718  0.000
Cr  0.360  0.360  0.000
O  0.200  0.200  0.000
O  0.348  0.848  0.500
O  0.522  0.522  0.000
O  0.848  0.348  0.500

Properties
- Theoretical density: 7.5 g/cm3
- Crystal system: tetragonal
- VASP energy: -0.5479 Ry/atom
- SG: No. 107